Entry from Alexandria: a relaxed structure of LaCdGa (PBE-GGA).

Cell and atoms, written as extended XYZ:
```
12
Lattice="-6.832 2.871 -5.592 -4.305 -0.132 5.192 1.227 5.159 1.149" Properties=species:S:1:pos:R:3 pbc="T T T"
Cd -4.432 7.045 -1.304
Cd -8.283 4.855 -0.171
Cd -5.478 0.852 2.053
Cd -1.627 3.042 0.920
Ga 0.000 0.000 0.000
Ga -4.955 3.949 0.374
Ga -2.803 4.015 -2.221
Ga -2.152 -0.066 2.596
La -3.363 0.933 -0.573
La -3.742 2.959 3.546
La -6.547 6.965 1.322
La -6.168 4.938 -2.797
```

Summary:
Total magnetization   0.00 μB/cell
Formation energy from the elements   -312.9 meV/atom
Symmetry   Pnma

Entry from Alexandria: a relaxed structure of AlAg3Au (PBE-GGA).

Cell and atoms, written as extended XYZ:
```
5
Lattice="5.168 0.000 0.000 0.000 5.168 0.000 0.000 0.000 5.168" Properties=species:S:1:pos:R:3 pbc="T T T"
Au 0.000 0.000 0.000
Al 2.584 2.584 2.584
Ag 0.000 2.584 0.000
Ag 0.000 0.000 2.584
Ag 2.584 0.000 0.000
```

Summary:
Total magnetization   0.00 μB/cell
Excess energy over the best structure of this formula in the dataset   0.7306 eV per atom
Formation energy from the elements   725.2 meV/atom
Symmetry   Pm-3m

formation energy from the elements of number 1 (LaCdGa)? -312.9 meV/atom

Which value of total magnetization does entry 1 give? 0.00 μB/cell

What did the second record say?
Entry from Alexandria: a relaxed structure of AlAg3Au (PBE-GGA).

Cell and atoms, written as extended XYZ:
```
5
Lattice="5.168 0.000 0.000 0.000 5.168 0.000 0.000 0.000 5.168" Properties=species:S:1:pos:R:3 pbc="T T T"
Au 0.000 0.000 0.000
Al 2.584 2.584 2.584
Ag 0.000 2.584 0.000
Ag 0.000 0.000 2.584
Ag 2.584 0.000 0.000
```

Summary:
Total magnetization   0.00 μB/cell
Excess energy over the best structure of this formula in the dataset   0.7306 eV per atom
Formation energy from the elements   725.2 meV/atom
Symmetry   Pm-3m

formation energy from the elements of number 2 (AlAg3Au)? 725.2 meV/atom